LiLaCr2Sn (PBE, relaxed); calculated formation energy = 162 kJ/mol of atoms; crystal system = tetragonal; M_tot = 0.003 μB/atom
1.0
-3.6863 -0.1518 -2.7208
-3.3066 -2.0119 4.5921
-1.0276 4.3166 1.1513
Cr Li Sn La
2 1 1 1
direct
0.0000 0.0000 0.5000 Cr
0.5000 0.0000 0.0000 Cr
0.5000 0.5000 0.5000 Li
0.0000 0.5000 0.0000 Sn
0.0000 0.0000 0.0000 La